Record 1
Entry from Alexandria via LeMat-Bulk: a relaxed KBaOs2 crystal (PBE).

a = 6.164 Å, b = 6.164 Å, c = 6.164 Å
α = 142.29°, β = 142.19°, γ = 54.47°
Positions (direct):
K  0.000  0.000  0.000
Ba  0.500  0.500  0.000
Os  0.250  0.750  0.500
Os  0.750  0.250  0.500

- DOS(E_F) (states/eV/atom) = 1.2406
- formation enthalpy at 0 K (eV per atom) = 1.497
- relative energy among the computed polymorphs (meV per atom) = 1051

---

Record 2
Entry from Alexandria via LeMat-Bulk: a relaxed CeTmZr2 crystal (PBE).

a = 3.887 Å, b = 3.887 Å, c = 6.839 Å
α = 90.00°, β = 90.00°, γ = 90.00°
Positions (direct):
Ce  0.000  0.000  0.000
Tm  0.000  0.000  0.500
Zr  0.500  0.500  0.219
Zr  0.500  0.500  0.781

- DOS(E_F) (states/eV/atom) = 1.6735
- formation enthalpy at 0 K (eV per atom) = 0.152
- relative energy among the computed polymorphs (meV per atom) = 52

---

Record 3
Entry from Alexandria via LeMat-Bulk: a relaxed Sm3Al3Hg crystal (PBE).

a = 6.040 Å, b = 6.040 Å, c = 14.689 Å
α = 107.78°, β = 107.78°, γ = 44.88°
Positions (direct):
Sm  0.035  0.035  0.379
Sm  0.100  0.100  0.920
Sm  0.241  0.241  0.218
Sm  0.759  0.759  0.782
Sm  0.900  0.900  0.080
Sm  0.965  0.965  0.621
Al  0.374  0.374  0.457
Al  0.392  0.392  0.928
Al  0.465  0.465  0.770
Al  0.535  0.535  0.230
Al  0.608  0.608  0.072
Al  0.626  0.626  0.543
Hg  0.252  0.252  0.609
Hg  0.748  0.748  0.391

- DOS(E_F) (states/eV/atom) = 0.8399
- formation enthalpy at 0 K (eV per atom) = -0.413

---

Record 4
Entry from Alexandria via LeMat-Bulk: a relaxed Ca3AgP2Pd9 crystal (PBE).

a = 7.162 Å, b = 7.162 Å, c = 6.919 Å
α = 90.00°, β = 90.00°, γ = 120.00°
Positions (direct):
Ca  0.000  0.000  0.000
Ca  0.333  0.667  0.679
Ca  0.667  0.333  0.321
Ag  0.000  0.000  0.500
P  0.333  0.667  0.136
P  0.667  0.333  0.864
Pd  0.000  0.500  0.000
Pd  0.190  0.379  0.339
Pd  0.190  0.810  0.339
Pd  0.379  0.190  0.661
Pd  0.500  0.000  0.000
Pd  0.500  0.500  0.000
Pd  0.621  0.810  0.339
Pd  0.810  0.190  0.661
Pd  0.810  0.621  0.661

- DOS(E_F) (states/eV/atom) = 0.6413
- formation enthalpy at 0 K (eV per atom) = -0.459

---

Record 5
Entry from Alexandria via LeMat-Bulk: a relaxed UPa2Os crystal (PBE).

a = 4.915 Å, b = 4.915 Å, c = 4.915 Å
α = 60.00°, β = 60.00°, γ = 60.00°
Positions (direct):
U  0.000  0.000  0.000
Pa  0.250  0.250  0.250
Pa  0.750  0.750  0.750
Os  0.500  0.500  0.500

- DOS(E_F) (states/eV/atom) = 2.1274
- formation enthalpy at 0 K (eV per atom) = 0.028
- relative energy among the computed polymorphs (meV per atom) = 141

---

Record 6
Entry from Alexandria via LeMat-Bulk: a relaxed Be2AsW crystal (PBE).

a = 4.440 Å, b = 4.440 Å, c = 2.814 Å
α = 90.17°, β = 90.17°, γ = 111.72°
Positions (direct):
Be  0.000  0.500  0.000
Be  0.500  0.000  0.000
As  0.000  0.000  0.500
W  0.500  0.500  0.500

- DOS(E_F) (states/eV/atom) = 0.4359
- formation enthalpy at 0 K (eV per atom) = 0.355

---

Record 7
Entry from Alexandria via LeMat-Bulk: a relaxed TlReAu2 crystal (PBE).

a = 5.302 Å, b = 5.302 Å, c = 2.873 Å
α = 90.00°, β = 90.00°, γ = 114.24°
Positions (direct):
Tl  0.000  0.000  0.000
Re  0.500  0.500  0.000
Au  0.000  0.500  0.500
Au  0.500  0.000  0.500

- DOS(E_F) (states/eV/atom) = 0.5414
- formation enthalpy at 0 K (eV per atom) = 0.607
- relative energy among the computed polymorphs (meV per atom) = 87

---

Record 8
Entry from Alexandria via LeMat-Bulk: a relaxed SmHo2Sb crystal (PBE).

a = 9.801 Å, b = 9.801 Å, c = 9.801 Å
α = 23.53°, β = 23.53°, γ = 23.53°
Positions (direct):
Sm  0.000  0.000  0.000
Ho  0.567  0.567  0.567
Ho  0.766  0.766  0.766
Sb  0.166  0.166  0.166

- DOS(E_F) (states/eV/atom) = 1.0828
- ΔE_f (raw) (meV/atom) = -328
- relative energy among the computed polymorphs (meV per atom) = 256